[1]
DFT (PBE) results for LiZn2Ga8 after structural relaxation.

abc: 6.804 6.804 4.743
angles: 98.59 98.59 73.37
Positions (direct):
1 Li 0.000 0.000 0.000
2 Zn 0.123 0.123 0.547
3 Zn 0.877 0.877 0.453
4 Ga 0.215 0.644 0.209
5 Ga 0.240 0.240 0.107
6 Ga 0.356 0.785 0.791
7 Ga 0.375 0.375 0.665
8 Ga 0.625 0.625 0.335
9 Ga 0.644 0.215 0.209
10 Ga 0.760 0.760 0.893
11 Ga 0.785 0.356 0.791

final energy = -2.61 eV per atom
symmetry = C2/m (12)
magnetization = 0.0 μB per formula unit
formation energy = 0.00 eV per atom
energy relative to the lowest polymorph listed for this composition = 0.0413 eV/atom

***

[2]
DFT (PBE) results for InCuF4 after structural relaxation.

abc: 5.031 5.031 6.724
angles: 121.10 121.10 38.56
Positions (direct):
1 In 0.000 0.000 0.000
2 Cu 0.500 0.500 0.500
3 F 0.043 0.043 0.345
4 F 0.331 0.331 0.898
5 F 0.669 0.669 0.102
6 F 0.957 0.957 0.655

final energy = -4.30 eV per atom
symmetry = C2/m (12)
magnetization = 0.1 μB per formula unit

***

[3]
DFT (PBE) results for Mg2Sn after structural relaxation.

abc: 3.263 3.263 15.945
angles: 90.00 90.00 120.00
Positions (direct):
1 Mg 0.333 0.667 0.247
2 Mg 0.333 0.667 0.917
3 Mg 0.667 0.333 0.083
4 Mg 0.667 0.333 0.753
5 Sn 0.333 0.667 0.591
6 Sn 0.667 0.333 0.409

final energy = -2.39 eV per atom
symmetry = P-3m1 (164)
magnetization = 0.0 μB per formula unit
formation energy = 0.00 eV per atom

***

[4]
DFT (PBE) results for NbAgP2O after structural relaxation.

abc: 4.980 4.980 3.871
angles: 90.00 90.00 90.00
Positions (direct):
1 Nb 0.000 0.000 0.000
2 Ag 0.500 0.500 0.500
3 P 0.000 0.500 0.000
4 P 0.500 0.000 0.000
5 O 0.000 0.000 0.500

final energy = -5.97 eV per atom
symmetry = P4/mmm (123)
magnetization = 0.0 μB per formula unit
energy relative to the lowest polymorph listed for this composition = 0.0000 eV/atom

***

[5]
DFT (PBE) results for LaBiPtW2 after structural relaxation.

abc: 4.974 4.974 5.216
angles: 90.00 90.00 90.00
Positions (direct):
1 La 0.000 0.000 0.000
2 Bi 0.500 0.500 0.500
3 Pt 0.000 0.000 0.500
4 W 0.000 0.500 0.000
5 W 0.500 0.000 0.000

final energy = -5.84 eV per atom
symmetry = P4/mmm (123)
magnetization = 0.0 μB per formula unit
formation energy = 2.31 eV per atom

***

[6]
DFT (PBE) results for Ac4Pm2Er after structural relaxation.

abc: 8.451 8.451 18.322
angles: 90.73 90.73 153.83
Positions (direct):
1 Ac 0.115 0.754 0.922
2 Ac 0.246 0.885 0.578
3 Ac 0.325 0.448 0.580
4 Ac 0.448 0.325 0.080
5 Ac 0.552 0.675 0.920
6 Ac 0.675 0.552 0.420
7 Ac 0.754 0.115 0.422
8 Ac 0.885 0.246 0.078
9 Pm 0.034 0.966 0.250
10 Pm 0.371 0.629 0.250
11 Pm 0.629 0.371 0.750
12 Pm 0.966 0.034 0.750
13 Er 0.298 0.702 0.750
14 Er 0.702 0.298 0.250

final energy = -4.12 eV per atom
symmetry = C2/c (15)
magnetization = 0.0 μB per formula unit
formation energy = 0.23 eV per atom

***

[7]
DFT (PBE) results for KCrOs2 after structural relaxation.

abc: 2.743 2.743 9.151
angles: 90.00 90.00 90.00
Positions (direct):
1 K 0.000 0.000 0.000
2 Cr 0.000 0.000 0.500
3 Os 0.500 0.500 0.315
4 Os 0.500 0.500 0.685

final energy = -7.49 eV per atom
symmetry = P4/mmm (123)
magnetization = 0.0 μB per formula unit
formation energy = 0.81 eV per atom
energy relative to the lowest polymorph listed for this composition = 0.1121 eV/atom

***

[8]
DFT (PBE) results for KIn2Se after structural relaxation.

abc: 9.641 9.641 9.641
angles: 23.96 23.96 23.96
Positions (direct):
1 K 0.000 0.000 0.000
2 In 0.232 0.232 0.232
3 In 0.768 0.768 0.768
4 Se 0.500 0.500 0.500

final energy = -2.80 eV per atom
symmetry = R-3m (166)
magnetization = 0.0 μB per formula unit

***

[9]
DFT (PBE) results for Cd2Au4Se after structural relaxation.

abc: 7.695 7.695 7.695
angles: 140.43 140.43 57.20
Positions (direct):
1 Cd 0.113 0.113 0.000
2 Cd 0.887 0.887 0.000
3 Au 0.000 0.500 0.500
4 Au 0.307 0.307 0.000
5 Au 0.500 0.000 0.500
6 Au 0.693 0.693 0.000
7 Se 0.500 0.500 0.000

final energy = -2.36 eV per atom
symmetry = I4/mmm (139)
magnetization = 0.0 μB per formula unit

***

[10]
DFT (PBE) results for CsVSe after structural relaxation.

abc: 3.870 3.870 12.768
angles: 90.00 90.00 90.00
Positions (direct):
1 Cs 0.250 0.250 0.202
2 Cs 0.750 0.750 0.798
3 V 0.250 0.750 0.500
4 V 0.750 0.250 0.500
5 Se 0.250 0.250 0.628
6 Se 0.750 0.750 0.372

final energy = -5.04 eV per atom
symmetry = P4/nmm (129)
magnetization = 0.0 μB per formula unit

***

[11]
DFT (PBE) results for BiPd3Au after structural relaxation.

abc: 4.961 4.961 4.961
angles: 90.00 90.00 90.00
Positions (direct):
1 Bi 0.000 0.000 0.000
2 Pd 0.000 0.500 0.500
3 Pd 0.500 0.000 0.500
4 Pd 0.500 0.500 0.000
5 Au 0.500 0.500 0.500

final energy = -3.84 eV per atom
symmetry = Pm-3m (221)
magnetization = 0.0 μB per formula unit
formation energy = 0.71 eV per atom
energy relative to the lowest polymorph listed for this composition = 0.8946 eV/atom

***

[12]
DFT (PBE) results for Cs2SmAlS4 after structural relaxation.

abc: 15.010 13.471 7.998
angles: 84.64 63.32 32.04
Positions (direct):
1 Cs 0.055 0.055 0.695
2 Cs 0.305 0.305 0.945
3 Cs 0.695 0.695 0.055
4 Cs 0.945 0.945 0.305
5 Sm 0.125 0.125 0.125
6 Sm 0.875 0.875 0.875
7 Al 0.375 0.375 0.375
8 Al 0.625 0.625 0.625
9 S 0.023 0.629 0.540
10 S 0.308 0.540 0.629
11 S 0.371 0.977 0.692
12 S 0.460 0.692 0.977
13 S 0.540 0.308 0.023
14 S 0.629 0.023 0.308
15 S 0.692 0.460 0.371
16 S 0.977 0.371 0.460

final energy = -4.75 eV per atom
symmetry = Fddd (70)
magnetization = 0.0 μB per formula unit

***

[13]
DFT (PBE) results for Tb2AgS4 after structural relaxation.

abc: 6.747 5.460 8.345
angles: 90.00 99.82 90.00
Positions (direct):
1 Tb 0.180 0.250 0.367
2 Tb 0.241 0.250 0.929
3 Tb 0.759 0.750 0.071
4 Tb 0.820 0.750 0.633
5 Ag 0.300 0.750 0.618
6 Ag 0.700 0.250 0.382
7 S 0.037 0.750 0.378
8 S 0.086 0.750 0.899
9 S 0.442 0.513 0.207
10 S 0.442 0.987 0.207
11 S 0.558 0.013 0.793
12 S 0.558 0.487 0.793
13 S 0.914 0.250 0.101
14 S 0.963 0.250 0.622

final energy = -5.44 eV per atom
symmetry = P2_1/m (11)
magnetization = 0.0 μB per formula unit

***

[14]
DFT (PBE) results for LaSm2Zn2In2 after structural relaxation.

abc: 9.866 9.866 9.866
angles: 28.03 28.03 28.03
Positions (direct):
1 La 0.000 0.000 0.000
2 Sm 0.130 0.130 0.130
3 Sm 0.870 0.870 0.870
4 Zn 0.410 0.410 0.410
5 Zn 0.590 0.590 0.590
6 In 0.262 0.262 0.262
7 In 0.738 0.738 0.738

final energy = -3.51 eV per atom
symmetry = R-3m (166)
magnetization = 0.0 μB per formula unit
formation energy = -0.31 eV per atom

***

[15]
DFT (PBE) results for Mg2TaPt after structural relaxation.

abc: 4.614 4.614 4.614
angles: 60.00 60.00 60.00
Positions (direct):
1 Mg 0.000 0.000 0.000
2 Mg 0.250 0.250 0.250
3 Ta 0.500 0.500 0.500
4 Pt 0.750 0.750 0.750

final energy = -5.45 eV per atom
symmetry = F-43m (216)
magnetization = 0.0 μB per formula unit
formation energy = -0.18 eV per atom
energy relative to the lowest polymorph listed for this composition = 0.1089 eV/atom

***

[16]
DFT (PBE) results for TaP3Pb after structural relaxation.

abc: 4.875 4.875 4.875
angles: 90.00 90.00 90.00
Positions (direct):
1 Ta 0.000 0.000 0.000
2 P 0.000 0.000 0.500
3 P 0.000 0.500 0.000
4 P 0.500 0.000 0.000
5 Pb 0.500 0.500 0.500

final energy = -6.18 eV per atom
symmetry = Pm-3m (221)
magnetization = 0.0 μB per formula unit
formation energy = 0.18 eV per atom
energy relative to the lowest polymorph listed for this composition = 0.0000 eV/atom

***

[17]
DFT (PBE) results for GaNiS2 after structural relaxation.

abc: 3.962 3.962 4.868
angles: 110.39 110.39 90.75
Positions (direct):
1 Ga 0.000 0.000 0.000
2 Ni 0.830 0.170 0.500
3 S 0.423 0.408 0.744
4 S 0.592 0.577 0.256

final energy = -4.36 eV per atom
symmetry = C2 (5)
magnetization = 0.0 μB per formula unit

***

[18]
DFT (PBE) results for DyHo4Ni2 after structural relaxation.

abc: 7.481 6.349 7.869
angles: 90.00 112.40 90.00
Positions (direct):
1 Dy 0.150 0.250 0.027
2 Dy 0.850 0.750 0.973
3 Ho 0.026 0.250 0.387
4 Ho 0.252 0.750 0.345
5 Ho 0.408 0.004 0.768
6 Ho 0.408 0.496 0.768
7 Ho 0.592 0.504 0.232
8 Ho 0.592 0.996 0.232
9 Ho 0.748 0.250 0.655
10 Ho 0.974 0.750 0.613
11 Ni 0.256 0.750 0.994
12 Ni 0.382 0.250 0.413
13 Ni 0.618 0.750 0.587
14 Ni 0.744 0.250 0.006

final energy = -5.09 eV per atom
symmetry = P2_1/m (11)
magnetization = 0.0 μB per formula unit
formation energy = -0.16 eV per atom

***

[19]
DFT (PBE) results for Tb3Ge2Ir2 after structural relaxation.

abc: 5.633 7.858 13.364
angles: 90.00 90.00 90.00
Positions (direct):
1 Tb 0.124 0.243 0.250
2 Tb 0.124 0.257 0.750
3 Tb 0.356 0.606 0.100
4 Tb 0.356 0.606 0.400
5 Tb 0.356 0.894 0.600
6 Tb 0.356 0.894 0.900
7 Tb 0.644 0.106 0.100
8 Tb 0.644 0.106 0.400
9 Tb 0.644 0.394 0.600
10 Tb 0.644 0.394 0.900
11 Tb 0.876 0.743 0.250
12 Tb 0.876 0.757 0.750
13 Ge 0.148 0.250 0.000
14 Ge 0.148 0.250 0.500
15 Ge 0.374 0.608 0.750
16 Ge 0.374 0.892 0.250
17 Ge 0.626 0.108 0.750
18 Ge 0.626 0.392 0.250
19 Ge 0.852 0.750 0.000
20 Ge 0.852 0.750 0.500
21 Ir 0.133 0.541 0.592
22 Ir 0.133 0.541 0.908
23 Ir 0.133 0.959 0.092
24 Ir 0.133 0.959 0.408
25 Ir 0.867 0.041 0.592
26 Ir 0.867 0.041 0.908
27 Ir 0.867 0.459 0.092
28 Ir 0.867 0.459 0.408

final energy = -6.73 eV per atom
symmetry = Pbcm (57)
magnetization = 0.0 μB per formula unit
formation energy = -0.89 eV per atom

***

[20]
DFT (PBE) results for Ac3TlHg4 after structural relaxation.

abc: 10.013 10.013 10.013
angles: 32.26 32.26 32.26
Positions (direct):
1 Ac 0.000 0.000 0.000
2 Ac 0.239 0.239 0.239
3 Ac 0.761 0.761 0.761
4 Tl 0.500 0.500 0.500
5 Hg 0.121 0.121 0.121
6 Hg 0.371 0.371 0.371
7 Hg 0.629 0.629 0.629
8 Hg 0.879 0.879 0.879

final energy = -2.42 eV per atom
symmetry = R-3m (166)
magnetization = 0.0 μB per formula unit
formation energy = -0.43 eV per atom

***

[21]
DFT (PBE) results for Sr2ScZn after structural relaxation.

abc: 3.775 3.786 9.331
angles: 90.00 90.00 90.00
Positions (direct):
1 Sr 0.000 0.000 0.214
2 Sr 0.000 0.000 0.786
3 Sc 0.500 0.500 0.500
4 Zn 0.500 0.500 0.000

final energy = -2.62 eV per atom
symmetry = Pmmm (47)
magnetization = 1.1 μB per formula unit
formation energy = 0.12 eV per atom

***

[22]
DFT (PBE) results for CaPmThMg after structural relaxation.

abc: 5.674 5.674 5.674
angles: 60.00 60.00 60.00
Positions (direct):
1 Ca 0.000 0.000 0.000
2 Pm 0.250 0.250 0.250
3 Th 0.500 0.500 0.500
4 Mg 0.750 0.750 0.750

final energy = -3.72 eV per atom
symmetry = F-43m (216)
magnetization = 0.0 μB per formula unit
formation energy = 0.22 eV per atom